# H3PdN, relaxed, DFT PBE
data_H3PdN
_chemical_formula_sum 'H3 Pd1 N1'
_symmetry_space_group_name_H-M 'P m -3 m'
_symmetry_Int_Tables_number 221
_symmetry_space_group_name_Hall '-P 4 2 3'
_cell_length_a 3.465
_cell_length_b 3.465
_cell_length_c 3.465
_cell_angle_alpha 90.00
_cell_angle_beta 90.00
_cell_angle_gamma 90.00
loop_
_atom_site_label
_atom_site_type_symbol
_atom_site_fract_x
_atom_site_fract_y
_atom_site_fract_z
H1 H 0.000 0.000 0.500
Pd1 Pd 0.000 0.000 0.000
N1 N 0.500 0.500 0.500
# calculated total energy = -3.4862 eV/atom
# total magnetic moment = 2.20 μB/f.u.